This record from the Alexandria database describes HfMnV after structural relaxation. The functional is GGA-PBE.

a = 5.029 Å, b = 5.129 Å, c = 7.048 Å
α = 90.00°, β = 90.00°, γ = 90.00°
Space group Imma (No. 74)
Symmetry-distinct sites (fractional):
Hf: 0.000 0.250 0.122 [4 per cell]
Mn: 0.250 0.250 0.750 [4 per cell]
V: 0.000 0.000 0.500 [4 per cell]

Summary:
Size of the total moment, μB/f.u.: 0.00
Excess energy over the best structure of this formula in the dataset, meV per atom: 0
Raw total energy, eV/atom: -9.65


This record from the Alexandria database describes YPu2NpP4 after structural relaxation. The functional is GGA-PBE.

a = 6.888 Å, b = 3.992 Å, c = 6.903 Å
α = 90.00°, β = 109.56°, γ = 90.00°
Space group P2/m (No. 10)
Symmetry-distinct sites (fractional):
Y: 0.000 0.000 0.000 [1 per cell]
Pu: 0.000 0.500 0.500 [1 per cell]
Pu: 0.500 0.000 0.500 [1 per cell]
Np: 0.500 0.500 0.000 [1 per cell]
P: 0.254 0.000 0.752 [2 per cell]
P: 0.257 0.500 0.251 [2 per cell]

Summary:
Size of the total moment, μB/f.u.: 3.32
Raw total energy, eV/atom: -9.88